PuTl2VO6: relaxed, PBE with a Hubbard U.

abc: 5.8949 5.8949 5.8949
angles: 120.54 120.54 89.06
Closest atoms and distances in Å follow each position.
Sites, in units of the cell vectors:
Pu 0.0000 0.0000 0.0000  4 O 2.03
Tl 0.2500 0.7500 0.5000  12 O 2.94-2.95
Tl 0.7500 0.2500 0.5000  12 O 2.94-2.95
V 0.5000 0.5000 0.0000  2 O 1.84
O 0.2450 0.2450 0.4899  1 Pu 2.03, 1 V 2.11
O 0.2450 0.7550 0.0000  1 Pu 2.03, 1 V 2.11
O 0.2816 0.2816 0.0000  1 V 1.84
O 0.7184 0.7184 0.0000  1 V 1.84
O 0.7550 0.2450 0.0000  1 Pu 2.03, 1 V 2.11
O 0.7550 0.7550 0.5101  1 Pu 2.03, 1 V 2.11

The total DFT energy (no corrections) comes out at -7.374 eV/atom.